Record 1
# K2HgPt PBEsol relaxed
data_K2HgPt
_chemical_formula_sum 'K6 Hg3 Pt3'
_cell_length_a 4.6947
_cell_length_b 4.6947
_cell_length_c 22.6651
_cell_angle_alpha 90.00
_cell_angle_beta 90.00
_cell_angle_gamma 120.00
_space_group_name_H-M_alt 'R 3 m'
_space_group_IT_number 160
_space_group_name_Hall 'R 3 -2"'
loop_
_atom_site_label
_atom_site_type_symbol
_atom_site_fract_x
_atom_site_fract_y
_atom_site_fract_z
_atom_site_occupancy
K1 K 0.0000 0.0000 0.0000 1
K2 K 0.0000 0.0000 0.1758 1
Hg1 Hg 0.0000 0.0000 0.7546 1
Pt1 Pt 0.0000 0.0000 0.4207 1
# - energy of formation from the pure elements (meV per atom) = -90
# - total magnetization (μB/cell) = 0.000

---

Record 2
# MgAsPb2 PBEsol relaxed
data_MgAsPb2
_chemical_formula_sum 'Mg2 As2 Pb4'
_cell_length_a 6.973
_cell_length_b 8.526
_cell_length_c 3.336
_cell_angle_alpha 90.00
_cell_angle_beta 90.00
_cell_angle_gamma 90.00
_space_group_name_H-M_alt 'C m m m'
_space_group_IT_number 65
_space_group_name_Hall '-C 2 2'
loop_
_atom_site_label
_atom_site_type_symbol
_atom_site_fract_x
_atom_site_fract_y
_atom_site_fract_z
_atom_site_occupancy
Mg1 Mg 0.000 0.000 0.000 1
As1 As 0.000 0.500 0.000 1
Pb1 Pb 0.250 0.250 0.500 1
# - offset from the most stable computed form (meV per atom) = 155
# - energy of formation from the pure elements (meV per atom) = 56
# - total magnetization (μB/cell) = 0.000

---

Record 3
# Mg5B3O9F PBEsol relaxed
data_Mg5B3O9F
_chemical_formula_sum 'Mg20 B12 O36 F4'
_cell_length_a 10.063
_cell_length_b 14.857
_cell_length_c 4.537
_cell_angle_alpha 90.00
_cell_angle_beta 90.00
_cell_angle_gamma 90.00
_space_group_name_H-M_alt 'P n m a'
_space_group_IT_number 62
loop_
_space_group_symop_operation_xyz
'x,y,z'
'-x,-y,-z'
'-x+1/2,-y,z+1/2'
'x+1/2,y,-z+1/2'
'x+1/2,-y+1/2,-z+1/2'
'-x+1/2,y+1/2,z+1/2'
'-x,y+1/2,-z'
'x,-y+1/2,z'
loop_
_atom_site_label
_atom_site_type_symbol
_atom_site_fract_x
_atom_site_fract_y
_atom_site_fract_z
_atom_site_occupancy
Mg1 Mg 0.081 0.250 0.001 1
Mg2 Mg 0.131 0.057 0.500 1
Mg3 Mg 0.152 0.648 0.490 1
B1 B 0.074 0.575 0.037 1
B2 B 0.223 0.250 0.454 1
O1 O 0.009 0.135 0.810 1
O2 O 0.053 0.554 0.743 1
O3 O 0.185 0.545 0.195 1
O4 O 0.201 0.171 0.297 1
O5 O 0.245 0.750 0.249 1
F1 F 0.058 0.750 0.687 1
# - E (eV per formula unit) = -128.534
# - total magnetization (μB/cell) = 0.000

---

Record 4
# Ti2B2Ru PBEsol relaxed
data_Ti2B2Ru
_chemical_formula_sum 'Ti4 B4 Ru2'
_cell_length_a 5.812
_cell_length_b 5.812
_cell_length_c 3.165
_cell_angle_alpha 90.00
_cell_angle_beta 90.00
_cell_angle_gamma 90.00
_space_group_name_H-M_alt 'P 4/m b m'
_space_group_IT_number 127
_space_group_name_Hall '-P 4 2ab'
loop_
_atom_site_label
_atom_site_type_symbol
_atom_site_fract_x
_atom_site_fract_y
_atom_site_fract_z
_atom_site_occupancy
Ti1 Ti 0.178 0.322 0.000 1
B1 B 0.110 0.610 0.500 1
Ru1 Ru 0.000 0.000 0.500 1
# - energy of formation from the pure elements (meV per atom) = -929
# - total magnetization (μB/cell) = 0.000

---

Record 5
# MnInPCl2 PBEsol relaxed
data_MnInPCl2
_chemical_formula_sum 'Mn1 In1 P1 Cl2'
_cell_length_a 4.944
_cell_length_b 4.944
_cell_length_c 5.205
_cell_angle_alpha 90.00
_cell_angle_beta 90.00
_cell_angle_gamma 90.00
_space_group_name_H-M_alt 'P 4/m m m'
_space_group_IT_number 123
_space_group_name_Hall '-P 4 2'
loop_
_atom_site_label
_atom_site_type_symbol
_atom_site_fract_x
_atom_site_fract_y
_atom_site_fract_z
_atom_site_occupancy
Mn1 Mn 0.000 0.000 0.000 1
In1 In 0.500 0.500 0.500 1
P1 P 0.500 0.500 0.000 1
Cl1 Cl 0.000 0.500 0.500 1
# - offset from the most stable computed form (meV per atom) = 567
# - total magnetization (μB/cell) = 4.814

---

Record 6
# LiSi2Sb PBEsol relaxed
data_LiSi2Sb
_chemical_formula_sum 'Li2 Si4 Sb2'
_cell_length_a 8.213
_cell_length_b 3.590
_cell_length_c 5.139
_cell_angle_alpha 90.00
_cell_angle_beta 110.10
_cell_angle_gamma 90.00
_space_group_name_H-M_alt 'C 1 m 1'
_space_group_IT_number 8
loop_
_space_group_symop_operation_xyz
'x,y,z'
'x,-y,z'
'x+1/2,y+1/2,z'
'x+1/2,-y+1/2,z'
loop_
_atom_site_label
_atom_site_type_symbol
_atom_site_fract_x
_atom_site_fract_y
_atom_site_fract_z
_atom_site_occupancy
Li1 Li 0.000 0.000 0.000 1
Si1 Si 0.014 0.500 0.613 1
Si2 Si 0.239 0.000 0.773 1
Sb1 Sb 0.270 0.500 0.257 1
# - E (eV per formula unit) = -17.576
# - total magnetization (μB/cell) = 0.000

---

Record 7
# FeBiB3 PBEsol relaxed
data_FeBiB3
_chemical_formula_sum 'Fe1 Bi1 B3'
_cell_length_a 4.580
_cell_length_b 4.580
_cell_length_c 4.580
_cell_angle_alpha 90.00
_cell_angle_beta 90.00
_cell_angle_gamma 90.00
_space_group_name_H-M_alt 'P m -3 m'
_space_group_IT_number 221
_space_group_name_Hall '-P 4 2 3'
loop_
_atom_site_label
_atom_site_type_symbol
_atom_site_fract_x
_atom_site_fract_y
_atom_site_fract_z
_atom_site_occupancy
Fe1 Fe 0.000 0.000 0.000 1
Bi1 Bi 0.500 0.500 0.500 1
B1 B 0.000 0.500 0.500 1
# - energy of formation from the pure elements (meV per atom) = 2982
# - total magnetization (μB/cell) = 3.214

---

Record 8
# ScCuSi4 PBEsol relaxed
data_ScCuSi4
_chemical_formula_sum 'Sc4 Cu4 Si16'
_cell_length_a 7.025
_cell_length_b 7.025
_cell_length_c 7.025
_cell_angle_alpha 90.00
_cell_angle_beta 90.00
_cell_angle_gamma 90.00
_space_group_name_H-M_alt 'F -4 3 m'
_space_group_IT_number 216
_space_group_name_Hall 'F -4 2 3'
loop_
_atom_site_label
_atom_site_type_symbol
_atom_site_fract_x
_atom_site_fract_y
_atom_site_fract_z
_atom_site_occupancy
Sc1 Sc 0.000 0.000 0.000 1
Cu1 Cu 0.250 0.250 0.750 1
Si1 Si 0.124 0.124 0.376 1
# - E (eV per formula unit) = -34.510
# - total magnetization (μB/cell) = 0.001

---

Record 9
# ZnSiNO2 PBEsol relaxed
data_ZnSiNO2
_chemical_formula_sum 'Zn1 Si1 N1 O2'
_cell_length_a 3.850
_cell_length_b 3.850
_cell_length_c 3.768
_cell_angle_alpha 90.00
_cell_angle_beta 90.00
_cell_angle_gamma 90.00
_space_group_name_H-M_alt 'P 4/m m m'
_space_group_IT_number 123
_space_group_name_Hall '-P 4 2'
loop_
_atom_site_label
_atom_site_type_symbol
_atom_site_fract_x
_atom_site_fract_y
_atom_site_fract_z
_atom_site_occupancy
Zn1 Zn 0.000 0.000 0.000 1
Si1 Si 0.500 0.500 0.500 1
N1 N 0.000 0.000 0.500 1
O1 O 0.000 0.500 0.000 1
# - E (eV per formula unit) = -23.334
# - total magnetization (μB/cell) = 2.092

---

Record 10
# Mg2SbPb PBEsol relaxed
data_Mg2SbPb
_chemical_formula_sum 'Mg2 Sb1 Pb1'
_cell_length_a 4.024
_cell_length_b 4.024
_cell_length_c 6.183
_cell_angle_alpha 90.00
_cell_angle_beta 90.00
_cell_angle_gamma 90.00
_space_group_name_H-M_alt 'P 4 m m'
_space_group_IT_number 99
loop_
_space_group_symop_operation_xyz
'x,y,z'
'-y,x,z'
'-x,-y,z'
'y,-x,z'
'-x,y,z'
'y,x,z'
'x,-y,z'
'-y,-x,z'
loop_
_atom_site_label
_atom_site_type_symbol
_atom_site_fract_x
_atom_site_fract_y
_atom_site_fract_z
_atom_site_occupancy
Mg1 Mg 0.000 0.000 0.000 1
Mg2 Mg 0.500 0.500 0.300 1
Sb1 Sb 0.500 0.500 0.826 1
Pb1 Pb 0.000 0.000 0.506 1
# - offset from the most stable computed form (meV per atom) = 64
# - total magnetization (μB/cell) = 0.000

---

Record 11
# Tm5B2O6F9 PBEsol relaxed
data_Tm5B2O6F9
_chemical_formula_sum 'Tm20 B8 O24 F36'
_cell_length_a 20.003
_cell_length_b 5.933
_cell_length_c 8.118
_cell_angle_alpha 90.00
_cell_angle_beta 100.34
_cell_angle_gamma 90.00
_space_group_name_H-M_alt 'C 1 2/c 1'
_space_group_IT_number 15
loop_
_space_group_symop_operation_xyz
'x,y,z'
'-x,-y,-z'
'-x,y,-z+1/2'
'x,-y,z+1/2'
'x+1/2,y+1/2,z'
'-x+1/2,-y+1/2,-z'
'-x+1/2,y+1/2,-z+1/2'
'x+1/2,-y+1/2,z+1/2'
loop_
_atom_site_label
_atom_site_type_symbol
_atom_site_fract_x
_atom_site_fract_y
_atom_site_fract_z
_atom_site_occupancy
Tm1 Tm 0.000 0.111 0.250 1
Tm2 Tm 0.110 0.388 0.906 1
Tm3 Tm 0.194 0.122 0.320 1
B1 B 0.111 0.094 0.562 1
O1 O 0.091 0.242 0.433 1
O2 O 0.093 0.102 0.719 1
O3 O 0.160 0.063 0.039 1
F1 F 0.000 0.488 0.250 1
F2 F 0.032 0.181 0.987 1
F3 F 0.132 0.428 0.185 1
F4 F 0.211 0.426 0.481 1
F5 F 0.225 0.220 0.785 1
# - E (eV per formula unit) = -169.676
# - total magnetization (μB/cell) = 0.001

---

Record 12
# CdP2Ru PBEsol relaxed
data_CdP2Ru
_chemical_formula_sum 'Cd2 P4 Ru2'
_cell_length_a 7.090
_cell_length_b 2.962
_cell_length_c 6.816
_cell_angle_alpha 90.00
_cell_angle_beta 107.91
_cell_angle_gamma 90.00
_space_group_name_H-M_alt 'C 1 2/m 1'
_space_group_IT_number 12
loop_
_space_group_symop_operation_xyz
'x,y,z'
'-x,-y,-z'
'-x,y,-z'
'x,-y,z'
'x+1/2,y+1/2,z'
'-x+1/2,-y+1/2,-z'
'-x+1/2,y+1/2,-z'
'x+1/2,-y+1/2,z'
loop_
_atom_site_label
_atom_site_type_symbol
_atom_site_fract_x
_atom_site_fract_y
_atom_site_fract_z
_atom_site_occupancy
Cd1 Cd 0.000 0.000 0.000 1
P1 P 0.242 0.500 0.322 1
Ru1 Ru 0.000 0.500 0.500 1
# - energy of formation from the pure elements (meV per atom) = -21
# - total magnetization (μB/cell) = 0.000